ReWIO2 (PBE+U, relaxed); theoretical density = 9.08 g/cm3; distance to the lowest polymorph of the same formula = 0.0 meV per atom
1.0
-1.438 3.554 -0.838
-3.587 -1.544 -0.392
-1.096 0.996 6.101
I O W Re
1 2 1 1
Direct
0.000 0.000 0.500
0.000 0.500 0.000
0.500 0.000 0.000
0.500 0.500 0.500
0.000 0.000 0.000